Material: DyHo4Tl2
Method: DFT, GGA-PBE
State: relaxed

Calculated formation energy   0.0953 eV per atom
SG   R-3m
Magnetic moment   0.00 Bohr magnetons per cell

The structure in POSCAR format:
```
DyHo4Tl2
1.0
-2.852 -2.651 -3.539
-2.507 -4.406 1.409
-9.455 2.763 1.639
Dy Ho Tl
1 4 2
direct
0.500 0.500 0.500
0.285 0.285 0.144
0.715 0.715 0.856
0.879 0.879 0.362
0.121 0.121 0.638
0.395 0.395 0.815
0.605 0.605 0.185
```

***

Material: Dy4Ho3Tl
Method: DFT, GGA-PBE
State: relaxed

Calculated formation energy   -0.0673 eV per atom
SG   Pmn2_1
Magnetic moment   0.00 Bohr magnetons per cell

The structure in POSCAR format:
```
Dy4Ho3Tl
1.0
6.160 0.000 0.000
0.000 7.011 0.000
0.000 0.000 11.151
Ho Dy Tl
6 8 2
direct
0.472 0.384 0.743
0.972 0.616 0.757
0.137 0.369 0.500
0.637 0.631 0.000
0.472 0.384 0.257
0.972 0.616 0.243
0.134 0.869 0.500
0.634 0.131 0.000
0.991 0.127 0.238
0.167 0.872 0.000
0.491 0.873 0.738
0.667 0.128 0.500
0.991 0.127 0.762
0.491 0.873 0.262
0.150 0.379 0.000
0.650 0.621 0.500
```

***

Material: Dy6HoTl6
Method: DFT, GGA-PBE
State: relaxed

Calculated formation energy   -0.1708 eV per atom
SG   P6/mmm
Magnetic moment   0.92 Bohr magnetons per cell

The structure in POSCAR format:
```
Dy6HoTl6
1.0
6.428 0.000 0.000
-3.213 5.567 0.000
0.000 0.000 10.546
Dy Tl Ho
6 6 1
direct
0.000 0.000 0.335
0.333 0.667 0.500
0.667 0.333 0.000
0.333 0.667 0.000
0.667 0.333 0.500
0.000 0.000 0.665
0.000 0.500 0.754
0.500 0.000 0.754
0.500 0.000 0.246
0.500 0.500 0.246
0.500 0.500 0.754
0.000 0.500 0.246
0.000 0.000 0.000
```

***

Material: Dy3Ho3Tl2
Method: DFT, GGA-PBE
State: relaxed

Calculated formation energy   -0.0920 eV per atom
SG   Cmcm
Magnetic moment   0.00 Bohr magnetons per cell

The structure in POSCAR format:
```
Dy3Ho3Tl2
1.0
-4.935 -1.508 0.369
3.977 -4.669 -2.156
2.532 -4.669 14.781
Tl Dy Ho
4 6 6
direct
0.776 0.553 0.861
0.224 0.447 0.139
0.224 0.447 0.361
0.776 0.553 0.639
0.457 0.914 0.250
0.361 0.723 0.531
0.543 0.086 0.750
0.639 0.277 0.469
0.361 0.723 0.969
0.639 0.277 0.031
0.260 0.520 0.750
0.960 0.920 0.396
0.740 0.480 0.250
0.040 0.080 0.896
0.960 0.920 0.104
0.040 0.080 0.604
```